# PBEsol RbScF3, relaxed
data_RbScF3
_chemical_formula_sum 'Rb1 Sc1 F3'
_cell_length_a 4.7988
_cell_length_b 4.7988
_cell_length_c 4.7988
_cell_angle_alpha 90.00
_cell_angle_beta 90.00
_cell_angle_gamma 90.00
_space_group_name_H-M_alt 'P m -3 m'
_space_group_IT_number 221
_space_group_name_Hall '-P 4 2 3'
loop_
_atom_site_label
_atom_site_fract_x
_atom_site_fract_y
_atom_site_fract_z
Rb1 0.0000 0.0000 0.0000
Sc1 0.5000 0.5000 0.5000
F1 0.0000 0.0000 0.5000
# **Formation energy without anion corrections**: -1.53 eV/atom
# **Uncorrected energy**: -4.208 eV/atom

# PBEsol BaCo2Sb, relaxed
data_BaCo2Sb
_chemical_formula_sum 'Ba3 Co6 Sb3'
_cell_length_a 4.3441
_cell_length_b 4.3441
_cell_length_c 16.7715
_cell_angle_alpha 90.00
_cell_angle_beta 90.00
_cell_angle_gamma 120.00
_space_group_name_H-M_alt 'R -3 m'
_space_group_IT_number 166
_space_group_name_Hall '-R 3 2"'
loop_
_atom_site_label
_atom_site_fract_x
_atom_site_fract_y
_atom_site_fract_z
Ba1 0.0000 0.0000 0.0000
Co1 0.0000 0.0000 0.1791
Sb1 0.0000 0.0000 0.5000
# **Formation energy without anion corrections**: -0.11 eV/atom
# **Uncorrected energy**: -5.652 eV/atom